Material: RbNa2ZnI
Method: DFT, PBE-GGA
State: optimized geometry

a = 6.1228 Å, b = 7.1531 Å, c = 6.1228 Å
α = 90.00°, β = 90.00°, γ = 90.00°
Sites, in units of the cell vectors:
Zn1 0.5000 0.5000 0.5000
Na1 0.0000 0.0000 0.5000
Na2 0.5000 0.0000 0.0000
Rb1 0.0000 0.5000 0.0000
I1 0.0000 0.0000 0.0000

uncorrected energy: -7.36 eV for the cell shown
ΔE_f (raw): -0.186 eV/atom
N(E_F): 0.67 states/eV/atom